Tl6InHg5: relaxed, GGA-PBE.

a b c (Å): 5.973 9.155 9.155
angles (deg): 122.33 105.35 105.35
Fractional coordinates of all 12 atoms:
Hg 0.000 0.335 0.665
In 0.000 0.000 0.000
Tl 0.257 0.751 0.751
Hg 0.500 0.167 0.833
Tl 0.249 0.419 0.082
Tl 0.743 0.249 0.249
Tl 0.249 0.082 0.419
Hg 0.500 0.833 0.167
Tl 0.751 0.581 0.918
Tl 0.751 0.918 0.581
Hg 0.500 0.500 0.500
Hg 0.000 0.665 0.335

Results
- Calculated volume: 354 Å³ per cell
- Density: 11.0 g/cm³
- Space-group type: C2/m (12)
- DFT formation energy: 0.0 eV/f.u.
- E: -1.54 eV per atom



YAg3Au7: relaxed, GGA-PBE.

a b c (Å): 5.769 7.689 7.689
angles (deg): 82.35 123.53 123.53
Fractional coordinates of all 11 atoms:
Au 0.328 0.588 0.070
Ag 0.500 0.000 0.000
Y 0.500 0.500 0.500
Au 0.328 0.070 0.588
Au 0.676 0.816 0.816
Au 0.672 0.412 0.930
Ag 0.000 0.233 0.767
Au 0.672 0.930 0.412
Au 0.324 0.184 0.184
Ag 0.000 0.767 0.233
Au 0.000 0.500 0.500

Results
- Calculated volume: 230 Å³ per cell
- Density: 13.0 g/cm³
- Space-group type: C2/m (12)
- DFT formation energy: -0.8 eV/f.u.
- E: -3.52 eV per atom



K2LaAu: relaxed, GGA-PBE.

a b c (Å): 6.616 4.622 4.622
angles (deg): 90.00 90.00 90.00
Fractional coordinates of all 4 atoms:
La 0.500 0.500 0.000
K 0.000 0.500 0.500
Au 0.500 0.000 0.500
K 0.000 0.000 0.000

Results
- Calculated volume: 141 Å³ per cell
- Density: 4.9 g/cm³
- Space-group type: P4/mmm (123)
- DFT formation energy: 0.2 eV/f.u.
- Distance to the lowest polymorph of the same formula: 1.12 eV/f.u.
- E: -2.54 eV per atom



TlGaAgSe: relaxed, GGA-PBE.

a b c (Å): 4.447 4.248 5.645
angles (deg): 90.00 104.29 90.00
Fractional coordinates of all 4 atoms:
Ga 0.471 0.000 0.411
Se 0.949 0.000 0.083
Ag 0.744 0.500 0.283
Tl 0.278 0.500 0.763

Results
- Calculated volume: 103 Å³ per cell
- Formation energy from raw total energies: -0.1022 eV per atom
- Density: 7.4 g/cm³
- Space-group type: Pm (6)
- Distance to the lowest polymorph of the same formula: 0.14 eV/f.u.
- E: -3.03 eV per atom